First-principles (PBE+U) data for a relaxed Co2PdF crystal, as listed in Alexandria via LeMat-Bulk.

Cell: 6.2449 6.2449 5.2827 Å, 53.77 53.77 90.00°
Last column: magnetic moment on the atom in μB.
Fractional positions:
Co 0.5653 0.1250 0.2500  2.44
Co 0.1847 0.6250 0.2500  2.43
Co 0.3750 0.4347 0.7500  2.44
Co 0.8750 0.8153 0.7500  2.37
Pd 0.0000 0.0000 0.0000  0.21
Pd 0.7500 0.2500 0.5000  0.21
F 0.5000 0.5000 0.0000  0.07
F 0.2500 0.7500 0.5000  0.07

## Properties
Its density of states at the Fermi level is 4.11 states/eV per cell. For the total energy, the calculation gives -4.43 eV/atom. As for the excess energy over the best structure of this formula in the dataset: 0.000 eV per formula unit. The volume is 113.08 Å³/cell. The total moment comes out at 10.1 μB per cell. The calculated density is 7.1 Mg/m³.